Entry 1:
Below is a geometry-optimized Mg2Zn3Ga3 structure, with properties calculated at the PBE-GGA level.

Calculated values
- Energy of formation: -0.5 eV/f.u.
- M_tot: 0.00 μB/f.u.

a = 4.0946 Å, b = 4.1203 Å, c = 8.2338 Å
α = 90.00°, β = 90.00°, γ = 90.00°
With the nearest neighbours (Å) after each atom.
Fractional positions:
Mg (0.0000, 0.0000, 0.7483)  6 Zn 2.89-2.92, 6 Ga 2.90-2.91
Mg (0.0000, 0.0000, 0.2517)  6 Zn 2.89-2.92, 6 Ga 2.90-2.91
Ga (0.5000, 0.5000, 0.7424)  6 Zn 2.86-2.95, 4 Mg 2.90, 2 Ga 2.96
Ga (0.5000, 0.0000, 0.0000)  4 Zn 2.90, 4 Mg 2.91, 4 Ga 2.96
Ga (0.5000, 0.5000, 0.2576)  6 Zn 2.86-2.95, 4 Mg 2.90, 2 Ga 2.96
Zn (0.5000, 0.0000, 0.5000)  4 Ga 2.87, 4 Mg 2.89, 4 Zn 2.90
Zn (0.0000, 0.5000, 0.0000)  8 Ga 2.90-2.95, 4 Mg 2.92
Zn (0.0000, 0.5000, 0.5000)  4 Ga 2.86, 4 Mg 2.90, 4 Zn 2.90

=====

Entry 2:
Below is a geometry-optimized LaMnSi2Cl structure, with properties calculated at the PBE-GGA level.

Calculated values
- M_tot: 1.53 μB/f.u.
- ΔE_f (raw): -349.7 meV/atom

a = 4.3751 Å, b = 5.3650 Å, c = 4.3751 Å
α = 90.00°, β = 90.00°, γ = 90.00°
With the nearest neighbours (Å) after each atom.
Fractional positions:
Si (0.0000, 0.0000, 0.5000)  2 Mn 2.19
Si (0.5000, 0.0000, 0.0000)  2 Mn 2.19
La (0.5000, 0.5000, 0.5000)  4 Cl 3.09, 8 Si 3.46
Cl (0.0000, 0.5000, 0.0000)  2 Mn 2.68
Mn (0.0000, 0.0000, 0.0000)  4 Si 2.19

=====

Entry 3:
Below is a geometry-optimized IrCl structure, with properties calculated at the PBE-GGA level.

Calculated values
- M_tot: 0.00 μB/f.u.
- ΔE_f (raw): 455.1 meV/atom
- Energy above the lowest structure with this stoichiometry: 320.6 meV per atom

a = 3.0067 Å, b = 3.0067 Å, c = 10.1278 Å
α = 90.00°, β = 90.00°, γ = 124.37°
With the nearest neighbours (Å) after each atom.
Fractional positions:
Cl (0.0000, 0.0000, 0.0660)  2 Ir 2.46
Cl (0.5000, 0.5000, 0.6840)  2 Ir 2.46
Ir (0.0000, 0.0000, 0.4841)  2 Cl 2.46, 2 Ir 2.62
Ir (0.5000, 0.5000, 0.2659)  2 Cl 2.46, 2 Ir 2.62

=====

Entry 4:
Below is a geometry-optimized CeTl6I8 structure, with properties calculated at the PBE-GGA level.

Calculated values
- M_tot: 1.69 μB/f.u.
- ΔE_f (raw): -722.7 meV/atom

a = 6.9027 Å, b = 10.6732 Å, c = 10.6732 Å
α = 120.00°, β = 90.00°, γ = 90.00°
With the nearest neighbours (Å) after each atom.
Fractional positions:
Tl (0.7042, 0.6169, 0.0000)  5 I 3.45-3.61, 1 Tl 3.76
Tl (0.7042, 0.3831, 0.3831)  5 I 3.45-3.61, 1 Tl 3.76
Tl (0.2958, 0.0000, 0.3831)  5 I 3.45-3.61, 1 Tl 3.76
Tl (0.2958, 0.6169, 0.6169)  5 I 3.45-3.61, 1 Tl 3.76
Tl (0.7042, 0.0000, 0.6169)  5 I 3.45-3.61, 1 Tl 3.76
Tl (0.2958, 0.3831, 0.0000)  5 I 3.45-3.61, 1 Tl 3.76
I (0.2479, 0.7481, 0.0000)  1 Ce 3.20, 1 Tl 3.45
I (0.7521, 0.2519, 0.0000)  1 Ce 3.20, 1 Tl 3.45
I (0.2479, 0.2519, 0.2519)  1 Ce 3.20, 1 Tl 3.45
I (0.2479, 0.0000, 0.7481)  1 Ce 3.20, 1 Tl 3.45
I (0.5003, 0.3333, 0.6667)  6 Tl 3.61
I (0.7521, 0.0000, 0.2519)  1 Ce 3.20, 1 Tl 3.45
I (0.7521, 0.7481, 0.7481)  1 Ce 3.20, 1 Tl 3.45
I (0.4997, 0.6667, 0.3333)  6 Tl 3.61
Ce (0.5000, 0.0000, 0.0000)  6 I 3.20

=====

Entry 5:
Below is a geometry-optimized AgPbAu2 structure, with properties calculated at the PBE-GGA level.

Calculated values
- Energy of formation: 0.1 eV/f.u.
- M_tot: 0.00 μB/f.u.

a = 5.2331 Å, b = 5.2331 Å, c = 4.6569 Å
α = 68.46°, β = 68.46°, γ = 45.58°
With the nearest neighbours (Å) after each atom.
Fractional positions:
Pb (0.4964, 0.4964, 0.5054)  8 Au 3.04-3.31, 4 Ag 3.05-3.23
Ag (0.2589, 0.2589, 0.2276)  7 Au 2.96-3.18, 4 Pb 3.05-3.23
Au (0.0025, 0.0025, 0.0003)  3 Au 2.94-3.11, 3 Ag 2.96-3.05, 4 Pb 3.09
Au (0.7422, 0.7422, 0.7668)  3 Au 2.94-3.11, 4 Ag 3.00-3.18, 3 Pb 3.04-3.07